(1)
DFT (PBE-GGA) results for a relaxed LiMnZn crystal.

Results
The density of states at the Fermi level is 2.644 states/eV/f.u. For the volume, the calculation gives 18.3 A^3/atom. The calculation puts the energy above the lowest structure with this stoichiometry at 444 meV/atom. The calculation puts the total energy at -3.578 eV/atom. The energy of formation from the pure elements comes out at 541 meV/atom.

a b c (Å): 6.0287 6.0287 6.0287
angles (deg): 90.00 90.00 90.00
Closest atoms and distances in Å follow each position.
Space group F-43m (No. 216)
One atom of each set of equivalent atoms:
Li  0.0000  0.0000  0.0000 (multiplicity 4)  4 Mn 2.61
Mn  0.2500  0.2500  0.2500 (multiplicity 4)  4 Li 2.61, 4 Zn 2.61
Zn  0.0000  0.0000  0.5000 (multiplicity 4)  4 Mn 2.61

***

(2)
DFT (PBE-GGA) results for a relaxed MnWBr2 crystal.

Results
The density of states at the Fermi level is 7.163 states/eV/f.u. For the volume, the calculation gives 15.7 A^3/atom. The calculation puts the energy above the lowest structure with this stoichiometry at 1217 meV/atom. The calculation puts the total energy at -4.994 eV/atom. Its formation energy without anion corrections is 1.373 eV per atom.

a b c (Å): 6.3123 6.3123 6.3123
angles (deg): 90.00 90.00 90.00
Closest atoms and distances in Å follow each position.
Space group Fm-3m (No. 225)
One atom of each set of equivalent atoms:
Mn  0.0000  0.0000  0.0000 (multiplicity 4)  8 Br 2.73
W  0.0000  0.0000  0.5000 (multiplicity 4)  8 Br 2.73
Br  0.2500  0.2500  0.2500 (multiplicity 8)  4 Mn 2.73, 4 W 2.73

***

(3)
DFT (PBE-GGA) results for a relaxed Nd5HoTl8 crystal.

Results
The density of states at the Fermi level is 12.676 states/eV/f.u. For the volume, the calculation gives 30.4 A^3/atom. The calculation puts the total energy at -3.673 eV/atom. The energy of formation from the pure elements comes out at -291 meV/atom.

a b c (Å): 9.5253 9.5253 9.3732
angles (deg): 90.00 90.00 90.00
Closest atoms and distances in Å follow each position.
Space group I-4 (No. 82)
One atom of each set of equivalent atoms:
Nd  0.0000  0.0000  0.0000 (multiplicity 2)  8 Tl 3.28-3.30
Nd  0.1193  0.2433  0.6269 (multiplicity 8)  8 Tl 3.25-3.36
Ho  0.0000  0.5000  0.2500 (multiplicity 2)  8 Tl 3.19-3.20
Tl  0.0764  0.3342  0.9634 (multiplicity 8)  1 Ho 3.20, 5 Nd 3.28-3.36, 2 Tl 3.39-3.48
Tl  0.0864  0.1785  0.2886 (multiplicity 8)  1 Ho 3.19, 5 Nd 3.25-3.30, 1 Tl 3.39